[1]
First-principles (PBE) data for a geometry-optimized Ca3Ge3Pd structure, as listed in the Alexandria database.

Cell lengths 5.821, 5.821, 13.778 Å; angles 90.00, 90.00, 136.60 degrees
Atoms (fractional coordinates):
Ca (0.000, 0.000, 0.250)
Ca (0.000, 0.000, 0.750)
Ca (0.284, 0.716, 0.602)
Ca (0.284, 0.716, 0.898)
Ca (0.716, 0.284, 0.102)
Ca (0.716, 0.284, 0.398)
Ge (0.288, 0.712, 0.250)
Ge (0.430, 0.570, 0.094)
Ge (0.430, 0.570, 0.406)
Ge (0.570, 0.430, 0.594)
Ge (0.570, 0.430, 0.906)
Ge (0.712, 0.288, 0.750)
Pd (0.000, 0.000, 0.000)
Pd (0.000, 0.000, 0.500)

* energy of formation from the pure elements: -0.686 eV/atom
* N(E_F): 3.08 states/eV/f.u.
* M_tot: 0.00 μB/cell


[2]
First-principles (PBE) data for a geometry-optimized Mg2TaMo structure, as listed in the Alexandria database.

Cell lengths 2.794, 4.866, 5.459 Å; angles 90.00, 104.08, 90.00 degrees
Atoms (fractional coordinates):
Mg (0.221, 0.000, 0.256)
Mg (0.779, 0.000, 0.744)
Ta (0.500, 0.500, 0.000)
Mo (0.000, 0.500, 0.500)

* energy of formation from the pure elements: 0.298 eV/atom
* N(E_F): 2.81 states/eV/f.u.
* M_tot: 0.00 μB/cell
* excess energy over the best structure of this formula in the dataset: 148 meV per atom